NaSiBO4 | meta-GGA SCAN | single point on PBEsol structure

abc: 7.725 8.003 13.994
angles: 89.91 90.00 90.00
Sites, in units of the cell vectors:
O 0.172 0.738 0.051
O 0.002 0.330 0.568
O 0.251 0.448 0.021
O 0.275 0.565 0.180
O 0.170 0.051 0.344
O 0.992 0.073 0.202
O 0.751 0.052 0.479
O 0.996 0.511 0.113
O 0.255 0.054 0.014
O 0.252 0.741 0.713
O 0.731 0.058 0.806
O 0.749 0.552 0.979
O 0.231 0.442 0.694
O 0.748 0.259 0.287
O 0.219 0.234 0.877
O 0.998 0.670 0.432
O 0.830 0.949 0.656
O 0.725 0.435 0.820
O 0.502 0.170 0.932
O 0.775 0.935 0.320
O 0.498 0.830 0.068
O 0.333 0.954 0.855
O 0.670 0.449 0.156
O 0.781 0.766 0.123
O 0.281 0.734 0.377
O 0.167 0.454 0.355
O 0.248 0.241 0.213
O 0.492 0.427 0.298
O 0.245 0.554 0.514
O 0.755 0.446 0.486
O 0.833 0.546 0.645
O 0.328 0.238 0.551
O 0.745 0.946 0.986
O 0.504 0.011 0.613
O 0.828 0.262 0.949
O 0.496 0.989 0.387
O 0.249 0.948 0.521
O 0.330 0.551 0.844
O 0.008 0.927 0.798
O 0.667 0.046 0.145
O 0.672 0.762 0.449
O 0.508 0.573 0.702
O 0.269 0.942 0.194
O 0.225 0.065 0.680
O 0.004 0.489 0.887
O 0.769 0.558 0.306
O 0.752 0.759 0.787
O 0.719 0.266 0.623
B 0.826 0.433 0.909
B 0.326 0.100 0.919
B 0.674 0.900 0.081
B 0.328 0.578 0.740
B 0.674 0.933 0.409
B 0.826 0.400 0.581
B 0.672 0.422 0.260
B 0.828 0.922 0.760
B 0.174 0.567 0.091
B 0.172 0.078 0.240
B 0.326 0.067 0.591
B 0.174 0.600 0.419
Si 0.298 0.893 0.081
Si 0.297 0.931 0.407
Si 0.702 0.107 0.919
Si 0.291 0.420 0.262
Si 0.703 0.069 0.593
Si 0.798 0.607 0.419
Si 0.709 0.580 0.738
Si 0.209 0.920 0.762
Si 0.202 0.393 0.581
Si 0.203 0.431 0.907
Si 0.797 0.569 0.093
Si 0.791 0.080 0.238
Na 0.535 0.273 0.433
Na 0.030 0.771 0.587
Na 0.970 0.229 0.413
Na 0.485 0.252 0.750
Na 0.465 0.727 0.567
Na 0.515 0.748 0.250
Na 0.985 0.248 0.750
Na 0.965 0.773 0.933
Na 0.470 0.271 0.087
Na 0.530 0.729 0.913
Na 0.035 0.227 0.067
Na 0.015 0.752 0.250

Results
VASP energy   -790.7 eV/cell
Formation energy without anion corrections   -266 kJ/mol of atoms

***

Na3SiSnBO7 | meta-GGA SCAN | single point on PBEsol structure

abc: 5.302 6.697 9.025
angles: 90.00 91.76 90.00
Sites, in units of the cell vectors:
Na 0.766 0.750 0.919
Na 0.746 0.493 0.248
Na 0.234 0.250 0.081
Na 0.254 0.507 0.752
Na 0.746 0.007 0.248
Na 0.254 0.993 0.752
O 0.206 0.058 0.320
O 0.320 0.750 0.916
O 0.794 0.558 0.680
O 0.409 0.750 0.539
O 0.140 0.250 0.582
O 0.206 0.442 0.320
O 0.591 0.250 0.461
O 0.524 0.250 0.829
O 0.860 0.750 0.418
O 0.794 0.942 0.680
O 0.040 0.750 0.125
O 0.960 0.250 0.875
O 0.680 0.250 0.084
O 0.476 0.750 0.171
B 0.721 0.250 0.939
B 0.279 0.750 0.061
Si 0.283 0.250 0.425
Si 0.717 0.750 0.575
Sn 0.217 0.750 0.340
Sn 0.783 0.250 0.660

Results
VASP energy   -280.8 eV/cell
Formation energy without anion corrections   -228 kJ/mol of atoms

***

Na2Y2B2TeO10 | meta-GGA SCAN | single point on PBEsol structure

abc: 6.304 6.723 9.932
angles: 90.00 90.00 103.91
Sites, in units of the cell vectors:
Na 0.414 0.331 0.888
Na 0.586 0.669 0.112
Na 0.586 0.169 0.388
Na 0.414 0.831 0.612
O 0.008 0.322 0.849
O 0.008 0.822 0.651
O 0.293 0.162 0.560
O 0.479 0.554 0.328
O 0.839 0.636 0.882
O 0.802 0.010 0.061
O 0.521 0.946 0.828
O 0.198 0.990 0.939
O 0.992 0.678 0.151
O 0.839 0.136 0.618
O 0.802 0.510 0.439
O 0.161 0.364 0.118
O 0.161 0.864 0.382
O 0.992 0.178 0.349
O 0.707 0.338 0.060
O 0.521 0.446 0.672
O 0.479 0.054 0.172
O 0.293 0.662 0.940
O 0.707 0.838 0.440
O 0.198 0.490 0.561
Y 0.874 0.977 0.833
Y 0.126 0.523 0.333
Y 0.874 0.477 0.667
Y 0.126 0.023 0.167
B 0.663 0.128 0.099
B 0.663 0.628 0.401
B 0.337 0.372 0.599
B 0.337 0.872 0.901
Te 0.000 0.000 0.500
Te 0.000 0.500 0.000

Results
VASP energy   -448.4 eV/cell
Formation energy without anion corrections   -259 kJ/mol of atoms

***

NaUBO5 | meta-GGA SCAN | single point on PBEsol structure

abc: 5.858 6.824 10.593
angles: 90.00 90.00 90.00
Sites, in units of the cell vectors:
Na 0.392 0.000 0.250
Na 0.392 0.500 0.250
Na 0.608 0.500 0.750
Na 0.608 0.000 0.750
O 0.341 0.750 0.045
O 0.320 0.750 0.761
O 0.680 0.750 0.261
O 0.132 0.919 0.588
O 0.868 0.419 0.412
O 0.132 0.581 0.588
O 0.147 0.250 0.174
O 0.659 0.750 0.545
O 0.659 0.250 0.955
O 0.132 0.419 0.912
O 0.853 0.250 0.674
O 0.868 0.919 0.088
O 0.320 0.250 0.739
O 0.132 0.081 0.912
O 0.868 0.581 0.088
O 0.868 0.081 0.412
O 0.341 0.250 0.455
O 0.680 0.250 0.239
O 0.853 0.750 0.826
O 0.147 0.750 0.326
B 0.202 0.750 0.649
B 0.202 0.250 0.851
B 0.798 0.750 0.149
B 0.798 0.250 0.351
U 0.900 0.250 0.065
U 0.900 0.750 0.435
U 0.100 0.250 0.565
U 0.100 0.750 0.935

Results
VASP energy   -678.2 eV/cell
Formation energy without anion corrections   -280 kJ/mol of atoms

***

Na3VB2O6 | meta-GGA SCAN | single point on PBEsol structure

abc: 5.515 9.077 10.147
angles: 90.00 93.32 90.00
Sites, in units of the cell vectors:
B 0.848 0.298 0.381
B 0.328 0.865 0.366
B 0.172 0.365 0.134
B 0.672 0.135 0.634
B 0.828 0.635 0.866
B 0.152 0.702 0.619
B 0.652 0.798 0.119
B 0.348 0.202 0.881
Na 0.140 0.064 0.615
Na 0.837 0.948 0.868
Na 0.163 0.052 0.132
Na 0.832 0.622 0.377
Na 0.640 0.436 0.115
Na 0.168 0.378 0.623
Na 0.860 0.936 0.385
Na 0.663 0.448 0.632
Na 0.337 0.552 0.368
Na 0.360 0.564 0.885
Na 0.668 0.122 0.123
Na 0.332 0.878 0.877
O 0.843 0.898 0.102
O 0.855 0.229 0.688
O 0.145 0.771 0.312
O 0.355 0.271 0.188
O 0.261 0.340 0.844
O 0.783 0.485 0.863
O 0.343 0.602 0.602
O 0.283 0.015 0.363
O 0.645 0.729 0.812
O 0.157 0.102 0.898
O 0.217 0.515 0.137
O 0.911 0.666 0.597
O 0.717 0.985 0.637
O 0.411 0.834 0.097
O 0.589 0.166 0.903
O 0.968 0.300 0.073
O 0.239 0.840 0.656
O 0.761 0.160 0.344
O 0.739 0.660 0.156
O 0.532 0.800 0.427
O 0.657 0.398 0.398
O 0.032 0.700 0.927
O 0.468 0.200 0.573
O 0.089 0.334 0.403
V 0.414 0.219 0.377
V 0.086 0.719 0.123
V 0.914 0.281 0.877
V 0.586 0.781 0.623

Results
VASP energy   -445.7 eV/cell
Formation energy without anion corrections   -233 kJ/mol of atoms

***

NaB3Os | meta-GGA SCAN | single point on PBEsol structure

abc: 4.105 4.105 4.105
angles: 90.00 90.00 90.00
Sites, in units of the cell vectors:
Os 0.000 0.000 0.000
B 0.000 0.500 0.000
B 0.500 0.000 0.000
B 0.000 0.000 0.500
Na 0.500 0.500 0.500

Results
Energy relative to the elements   0.36 eV per atom
VASP energy   -96.6 eV/cell

***

Na3BP2 | meta-GGA SCAN | single point on PBEsol structure

abc: 6.905 9.041 9.201
angles: 90.00 90.00 110.69
Sites, in units of the cell vectors:
Na 0.241 0.976 0.068
Na 0.265 0.683 0.785
Na 0.781 0.110 0.526
Na 0.759 0.024 0.932
Na 0.759 0.524 0.568
Na 0.735 0.317 0.215
Na 0.219 0.390 0.026
Na 0.219 0.890 0.474
Na 0.735 0.817 0.285
Na 0.781 0.610 0.974
Na 0.241 0.476 0.432
Na 0.265 0.183 0.715
P 0.003 0.866 0.776
P 0.997 0.134 0.224
P 0.550 0.267 0.942
P 0.450 0.733 0.058
P 0.997 0.634 0.276
P 0.003 0.366 0.724
P 0.450 0.233 0.442
P 0.550 0.767 0.558
B 0.227 0.182 0.329
B 0.773 0.818 0.671
B 0.773 0.318 0.829
B 0.227 0.682 0.171

Results
Energy relative to the elements   -0.45 eV per atom
VASP energy   -174.4 eV/cell

***

NaBP3 | meta-GGA SCAN | single point on PBEsol structure

abc: 4.217 4.217 4.217
angles: 90.00 90.00 90.00
Sites, in units of the cell vectors:
P 0.000 0.000 0.500
P 0.500 0.000 0.000
P 0.000 0.500 0.000
B 0.000 0.000 0.000
Na 0.500 0.500 0.500

Results
Energy relative to the elements   0.76 eV per atom
VASP energy   -39.1 eV/cell

***

Na3BPd | meta-GGA SCAN | single point on PBEsol structure

abc: 5.232 5.232 5.232
angles: 90.00 90.00 90.00
Sites, in units of the cell vectors:
Na 0.500 0.000 0.000
Na 0.000 0.500 0.000
Na 0.000 0.000 0.500
B 0.500 0.500 0.500
Pd 0.000 0.000 0.000

Results
Energy relative to the elements   1.09 eV per atom
VASP energy   -47.4 eV/cell

***

NaB2Pd | meta-GGA SCAN | single point on PBEsol structure

abc: 3.916 3.916 3.916
angles: 60.00 60.00 60.00
Sites, in units of the cell vectors:
B 0.250 0.250 0.250
B 0.750 0.750 0.750
Na 0.000 0.000 0.000
Pd 0.500 0.500 0.500

Results
Energy relative to the elements   0.90 eV per atom
VASP energy   -48.2 eV/cell

***

NaBPd3 | meta-GGA SCAN | single point on PBEsol structure

abc: 4.156 4.156 4.156
angles: 90.00 90.00 90.00
Sites, in units of the cell vectors:
Na 0.500 0.500 0.500
Pd 0.000 0.500 0.000
Pd 0.000 0.000 0.500
Pd 0.500 0.000 0.000
B 0.000 0.000 0.000

Results
Energy relative to the elements   -0.32 eV per atom
VASP energy   -111.6 eV/cell

***

Na2BPd2 | meta-GGA SCAN | single point on PBEsol structure

abc: 4.984 5.622 5.622
angles: 90.00 90.00 90.00
Sites, in units of the cell vectors:
Na 0.500 0.173 0.673
Na 0.500 0.673 0.827
Na 0.500 0.327 0.173
Na 0.500 0.827 0.327
Pd 0.000 0.332 0.832
Pd 0.000 0.168 0.332
Pd 0.000 0.832 0.668
Pd 0.000 0.668 0.168
B 0.000 0.000 0.000
B 0.000 0.500 0.500

Results
Energy relative to the elements   -0.23 eV per atom
VASP energy   -165.1 eV/cell

***

NaB3Pd | meta-GGA SCAN | single point on PBEsol structure

abc: 4.105 4.105 4.105
angles: 90.00 90.00 90.00
Sites, in units of the cell vectors:
B 0.000 0.000 0.500
B 0.000 0.500 0.000
B 0.500 0.000 0.000
Pd 0.000 0.000 0.000
Na 0.500 0.500 0.500

Results
Energy relative to the elements   1.19 eV per atom
VASP energy   -53.3 eV/cell

***

Na3BPt | meta-GGA SCAN | single point on PBEsol structure

abc: 5.330 5.330 5.330
angles: 90.00 90.00 90.00
Sites, in units of the cell vectors:
Na 0.000 0.000 0.500
Na 0.000 0.500 0.000
Na 0.500 0.000 0.000
B 0.500 0.500 0.500
Pt 0.000 0.000 0.000

Results
Energy relative to the elements   1.04 eV per atom
VASP energy   -85.1 eV/cell

***

Rb2NaSrB | meta-GGA SCAN | single point on PBEsol structure

abc: 5.011 6.814 6.814
angles: 90.00 90.00 90.00
Sites, in units of the cell vectors:
Rb 0.000 0.000 0.500
Rb 0.000 0.500 0.000
Sr 0.500 0.500 0.500
B 0.500 0.000 0.000
Na 0.000 0.000 0.000

Results
Energy relative to the elements   0.97 eV per atom
VASP energy   -70.6 eV/cell

***

NaY2ReB | meta-GGA SCAN | single point on PBEsol structure

abc: 4.472 5.059 5.059
angles: 90.00 90.00 90.00
Sites, in units of the cell vectors:
Y 0.000 0.000 0.500
Y 0.000 0.500 0.000
B 0.500 0.500 0.500
Re 0.500 0.000 0.000
Na 0.000 0.000 0.000

Results
Energy relative to the elements   2.27 eV per atom
VASP energy   -127.1 eV/cell